The following is a PBE calculation of an optimized crystal structure of LaReSi3, from Alexandria via LeMat-Bulk.

```
data_LaReSi3
_space_group_name_H-M_alt 'P m -3 m'
_space_group_IT_number 221
_space_group_name_Hall '-P 4 2 3'
_cell_length_a 4.713
_cell_length_b 4.713
_cell_length_c 4.713
_cell_angle_alpha 90.00
_cell_angle_beta 90.00
_cell_angle_gamma 90.00
loop_
_atom_site_label
_atom_site_type_symbol
_atom_site_fract_x
_atom_site_fract_y
_atom_site_fract_z
_atom_site_occupancy
La1 La 0.000 0.000 0.000 1
Re1 Re 0.500 0.500 0.500 1
Si1 Si 0.000 0.500 0.500 1
```

Computed properties:
* DFT total energy: -33.713 eV/cell
* magnetization: 0.00 μB/cell
* E_form (uncorrected): -0.0136 eV/atom
* N(E_F): 8.04 states/eV/cell
* ΔE to the lowest computed polymorph: 0.447 eV per atom



The following is a PBE calculation of an optimized crystal structure of LaReSi2, from Alexandria via LeMat-Bulk.

```
data_LaReSi2
_space_group_name_H-M_alt 'P n m a'
_space_group_IT_number 62
_cell_length_a 7.397
_cell_length_b 4.073
_cell_length_c 10.315
_cell_angle_alpha 90.00
_cell_angle_beta 90.00
_cell_angle_gamma 90.00
loop_
_space_group_symop_operation_xyz
'x,y,z'
'-x,-y,-z'
'-x+1/2,-y,z+1/2'
'x+1/2,y,-z+1/2'
'x+1/2,-y+1/2,-z+1/2'
'-x+1/2,y+1/2,z+1/2'
'-x,y+1/2,-z'
'x,-y+1/2,z'
loop_
_atom_site_label
_atom_site_type_symbol
_atom_site_fract_x
_atom_site_fract_y
_atom_site_fract_z
_atom_site_occupancy
La1 La 0.144 0.250 0.126 1
Re1 Re 0.010 0.750 0.394 1
Si1 Si 0.164 0.250 0.810 1
Si2 Si 0.198 0.250 0.424 1
```

Computed properties:
* DFT total energy: -121.531 eV/cell
* magnetization: 0.00 μB/cell
* E_form (uncorrected): -0.5403 eV/atom
* N(E_F): 9.07 states/eV/cell



The following is a PBE calculation of an optimized crystal structure of LaRe2Si, from Alexandria via LeMat-Bulk.

```
data_LaRe2Si
_space_group_name_H-M_alt 'P 1 2/m 1'
_space_group_IT_number 10
_cell_length_a 3.144
_cell_length_b 4.478
_cell_length_c 5.480
_cell_angle_alpha 90.00
_cell_angle_beta 94.11
_cell_angle_gamma 90.00
loop_
_space_group_symop_operation_xyz
'x,y,z'
'-x,-y,-z'
'-x,y,-z'
'x,-y,z'
loop_
_atom_site_label
_atom_site_type_symbol
_atom_site_fract_x
_atom_site_fract_y
_atom_site_fract_z
_atom_site_occupancy
La1 La 0.000 0.000 0.000 1
Re1 Re 0.308 0.500 0.685 1
Si1 Si 0.500 0.000 0.500 1
```

Computed properties:
* DFT total energy: -33.485 eV/cell
* magnetization: 0.00 μB/cell
* E_form (uncorrected): 0.4404 eV/atom
* N(E_F): 4.04 states/eV/cell



The following is a PBE calculation of an optimized crystal structure of LaRe2Si, from Alexandria via LeMat-Bulk.

```
data_LaRe2Si
_space_group_name_H-M_alt 'P 1 2/m 1'
_space_group_IT_number 10
_cell_length_a 4.663
_cell_length_b 3.175
_cell_length_c 5.158
_cell_angle_alpha 90.00
_cell_angle_beta 112.28
_cell_angle_gamma 90.00
loop_
_space_group_symop_operation_xyz
'x,y,z'
'-x,-y,-z'
'-x,y,-z'
'x,-y,z'
loop_
_atom_site_label
_atom_site_type_symbol
_atom_site_fract_x
_atom_site_fract_y
_atom_site_fract_z
_atom_site_occupancy
La1 La 0.000 0.000 0.000 1
Re1 Re 0.500 0.000 0.500 1
Re2 Re 0.500 0.500 0.000 1
Si1 Si 0.000 0.500 0.500 1
```

Computed properties:
* DFT total energy: -32.869 eV/cell
* magnetization: 0.00 μB/cell
* E_form (uncorrected): 0.5944 eV/atom
* N(E_F): 5.07 states/eV/cell



The following is a PBE calculation of an optimized crystal structure of LaRe2Si, from Alexandria via LeMat-Bulk.

```
data_LaRe2Si
_space_group_name_H-M_alt 'C 1 2/m 1'
_space_group_IT_number 12
_cell_length_a 8.752
_cell_length_b 3.297
_cell_length_c 5.407
_cell_angle_alpha 90.00
_cell_angle_beta 102.35
_cell_angle_gamma 90.00
loop_
_space_group_symop_operation_xyz
'x,y,z'
'-x,-y,-z'
'-x,y,-z'
'x,-y,z'
'x+1/2,y+1/2,z'
'-x+1/2,-y+1/2,-z'
'-x+1/2,y+1/2,-z'
'x+1/2,-y+1/2,z'
loop_
_atom_site_label
_atom_site_type_symbol
_atom_site_fract_x
_atom_site_fract_y
_atom_site_fract_z
_atom_site_occupancy
La1 La 0.000 0.000 0.000 1
Re1 Re 0.222 0.000 0.667 1
Si1 Si 0.000 0.500 0.500 1
```

Computed properties:
* DFT total energy: -68.651 eV/cell
* magnetization: 0.00 μB/cell
* E_form (uncorrected): 0.2303 eV/atom
* N(E_F): 7.36 states/eV/cell



The following is a PBE calculation of an optimized crystal structure of LaRe3Si3, from Alexandria via LeMat-Bulk.

```
data_LaRe3Si3
_space_group_name_H-M_alt 'P m -3 n'
_space_group_IT_number 223
_space_group_name_Hall '-P 4n 2 3'
_cell_length_a 6.643
_cell_length_b 6.643
_cell_length_c 6.643
_cell_angle_alpha 90.00
_cell_angle_beta 90.00
_cell_angle_gamma 90.00
loop_
_atom_site_label
_atom_site_type_symbol
_atom_site_fract_x
_atom_site_fract_y
_atom_site_fract_z
_atom_site_occupancy
La1 La 0.000 0.000 0.000 1
Re1 Re 0.000 0.250 0.500 1
Si1 Si 0.000 0.500 0.250 1
```

Computed properties:
* DFT total energy: -112.850 eV/cell
* magnetization: 0.02 μB/cell
* E_form (uncorrected): 0.3023 eV/atom
* N(E_F): 13.38 states/eV/cell
* ΔE to the lowest computed polymorph: 0.553 eV per atom